# 1
Fe2BiPtO | PBE+U | relaxed

Cell and atoms, written as POSCAR:
```
Fe2BiPtO
1.0
-1.480 -2.921 -4.244
2.554 -3.084 1.232
-3.983 -2.152 2.870
Fe Pt O Bi
2 1 1 1
direct
0.000 0.000 0.500 Fe
0.500 0.000 0.000 Fe
0.500 0.500 0.500 Pt
0.000 0.500 0.000 O
0.000 0.000 0.000 Bi
```

Properties
**Total DFT energy (no corrections)**: -4.1053 eV per atom
**Size of the total moment**: 8.2 Bohr magnetons per cell



# 2
PuFeBi2O8 | PBE+U | relaxed

Cell and atoms, written as POSCAR:
```
PuFeBi2O8
1.0
5.111 -0.094 -0.003
-0.074 5.103 -0.006
0.005 0.007 6.797
O Bi Fe Pu
8 2 1 1
direct
0.176 0.823 0.239 O
0.824 0.177 0.761 O
0.824 0.177 0.238 O
0.717 0.719 0.000 O
0.724 0.725 0.500 O
0.176 0.823 0.762 O
0.283 0.281 0.000 O
0.276 0.275 0.500 O
0.500 0.500 0.262 Bi
0.500 0.500 0.738 Bi
0.000 0.000 0.500 Fe
0.000 0.000 0.000 Pu
```

Properties
**Total DFT energy (no corrections)**: -7.2113 eV per atom
**Size of the total moment**: 6.0 Bohr magnetons per cell